This record from Alexandria via LeMat-Bulk describes crystalline NdH6Ru at its relaxed geometry. The functional is PBE-GGA.

Structure (POSCAR):
```
NdH6Ru
1.0
2.3708 1.3688 3.4607
-2.3708 1.3688 3.4607
0.0000 -2.7376 3.4607
Nd H Ru
1 6 1
Cartesian
0.0000 0.0000 0.0000
-1.3196 -0.7619 4.4501
0.0000 -1.5237 5.9318
-1.3196 0.7619 5.9318
1.3196 -0.7619 4.4501
0.0000 1.5237 4.4501
1.3196 0.7619 5.9318
0.0000 0.0000 5.1910
```

## Properties
- symmetry = R-3m
- size of the total moment (μB/f.u.) = 0.55
- E_tot (eV/atom) = -4.4664

This record from Alexandria via LeMat-Bulk describes crystalline TbHf2Fe at its relaxed geometry. The functional is PBE-GGA.

Structure (POSCAR):
```
TbHf2Fe
1.0
3.2250 0.0000 0.0000
-1.6125 2.7929 0.0000
0.0000 0.0000 29.8690
Tb Hf Fe
3 6 3
Cartesian
0.0000 0.0000 0.0000
0.0000 1.8619 19.9127
1.6125 0.9310 9.9563
0.0000 0.0000 3.2222
0.0000 0.0000 26.6468
0.0000 1.8619 16.6904
0.0000 1.8619 23.1349
1.6125 0.9310 6.7341
1.6125 0.9310 13.1786
0.0000 0.0000 14.9345
0.0000 1.8619 4.9782
1.6125 0.9310 24.8909
```

## Properties
- symmetry = R-3m
- size of the total moment (μB/f.u.) = 0.26
- energy of formation (eV/f.u.) = 1.22
- E_tot (eV/atom) = -7.9453

Question: Which of these has the lowest E_tot?
Answer: TbHf2Fe